The following is a DFT calculation (PBE with a Hubbard U) of a relaxed structure of CrGaN2F.

POSCAR file:
```
CrGaN2F
1.0
3.894 0.000 0.000
0.000 3.894 0.000
0.000 0.000 3.957
Cr Ga N F
1 1 2 1
Direct
0.000 0.000 0.000 Cr
0.500 0.500 0.500 Ga
0.000 0.500 0.000 N
0.500 0.000 0.000 N
0.000 0.000 0.500 F
```

Crystal system: tetragonal
DOS(E_F) (states/eV/f.u.): 2.136
E above lowest polymorph (eV/f.u.): 0.00